First-principles (GGA-PBE) data for a relaxed structure of CaSnP2Rh5, as listed in Alexandria via LeMat-Bulk.

Values from the calculation:
- magnetization (μB/f.u.) = 0.0
- calculated volume (Å³ per cell) = 167
- energy of formation (meV/atom) = -637

Lattice parameters (Å, degrees): 4.084 4.084 10.014 90.00 90.00 90.00
Sites, in units of the cell vectors:
Ca1 0.000 0.000 0.500
Rh1 0.500 0.500 0.500
Rh2 0.500 0.000 0.825
Rh3 0.000 0.500 0.825
Rh4 0.500 0.000 0.175
Rh5 0.000 0.500 0.175
P1 0.500 0.500 0.276
P2 0.500 0.500 0.724
Sn1 0.000 0.000 0.000